Pa2GaMo | PBE | relaxed

Results
- ρ (Mg/m³) = 12.158
- energy above the lowest structure with this stoichiometry (kJ per mole of atoms) = 6.73
- formation enthalpy at 0 K (meV per atom) = -30
- DOS(E_F) (states/eV/atom) = 1.5387

```
Pa2GaMo
1.0
3.6840 0.0000 0.0000
0.0000 3.6840 0.0000
0.0000 0.0000 6.3172
Mo Pa Ga
1 2 1
Cartesian
1.8420 1.8420 0.0000
0.0000 0.0000 4.6961
0.0000 0.0000 1.6211
1.8420 1.8420 3.1586
```